[1]
Below is crystalline RbLi3Mg4F12 at its relaxed geometry, with properties calculated at the PBE level.

Output
As for the formation energy (no corrections): -3.2482 eV per atom. For the total energy, the calculation gives -5.025 eV/atom. The value obtained for the density of states at the Fermi level is 0.000 states/eV/atom.

extended XYZ file:
```
20
Lattice="-3.8343 3.8343 3.8343 3.8343 -3.8343 3.8343 3.8343 3.8343 -3.8343" Properties=species:S:1:pos:R:3 pbc="T T T"
Rb 0.0000 0.0000 0.0000
Li 3.8343 0.0000 0.0000
Li 0.0000 3.8343 0.0000
Li 0.0000 0.0000 3.8343
Mg 1.9172 1.9172 -1.9172
Mg 1.9172 -1.9172 1.9172
Mg -1.9172 1.9172 1.9172
Mg 1.9172 1.9172 1.9172
F 3.8343 2.4062 -1.4524
F 2.3820 0.0000 1.4281
F 5.2867 0.0000 1.4281
F 1.4281 2.3820 0.0000
F 2.4062 -1.4524 3.8343
F 0.0000 1.4281 2.3820
F 3.8343 2.4062 1.4524
F 1.4281 5.2867 0.0000
F 2.4062 1.4524 3.8343
F -1.4524 3.8343 2.4062
F 1.4524 3.8343 2.4062
F 0.0000 1.4281 5.2867
```

[2]
Below is crystalline MnBeTe2 at its relaxed geometry, with properties calculated at the PBE level.

Output
As for the formation energy (no corrections): -0.1029 eV per atom. For the total energy, the calculation gives -4.898 eV/atom. The value obtained for the density of states at the Fermi level is 0.459 states/eV/atom.

extended XYZ file:
```
4
Lattice="4.0217 0.0000 0.0000 0.0000 4.0183 0.0000 -0.0125 0.0000 6.7866" Properties=species:S:1:pos:R:3 pbc="T T T"
Mn 0.0000 0.0000 0.0000
Be 1.9969 2.0092 6.7851
Te -0.0002 2.0092 1.6799
Te 1.9982 0.0000 5.1081
```